No. 1
Here is a relaxed PtRh4W crystal from Alexandria via LeMat-Bulk. Energies are from PBE-GGA.

Structure (extended XYZ):
```
12
Lattice="2.711 -7.708 0.000 2.711 7.708 0.000 0.000 0.000 4.272" Properties=species:S:1:pos:R:3 pbc="T T T"
Pt 2.711 5.823 3.204
Pt 2.711 -5.823 1.068
Rh 1.338 3.187 3.204
Rh 1.340 0.660 3.204
Rh 1.340 -0.660 1.068
Rh 1.338 -3.187 1.068
Rh 4.083 3.187 3.204
Rh 4.082 0.660 3.204
Rh 4.082 -0.660 1.068
Rh 4.083 -3.187 1.068
W 2.711 1.978 1.068
W 2.711 -1.978 3.204
```

- polymorph energy (0 for the lowest one) (meV/atom) = 0
- volume (Å³ per atom) = 14.9
- symmetry = Cmcm (63)


No. 2
Here is a relaxed Pt3RhW crystal from Alexandria via LeMat-Bulk. Energies are from PBE-GGA.

Structure (extended XYZ):
```
10
Lattice="-2.412 2.412 8.971 2.412 -2.412 8.971 2.412 2.412 -8.971" Properties=species:S:1:pos:R:3 pbc="T T T"
Pt 2.412 1.206 -2.233
Pt 0.000 0.000 3.147
Pt 1.206 2.412 2.233
Pt 1.206 0.000 11.203
Pt 0.000 1.206 6.738
Pt 0.000 0.000 14.794
Rh 2.412 0.000 1.178
Rh 2.412 0.000 7.793
W 0.000 0.000 8.971
W 0.000 2.412 4.485
```

- polymorph energy (0 for the lowest one) (meV/atom) = 1018
- volume (Å³ per atom) = 20.9
- symmetry = I-4m2 (119)


No. 3
Here is a relaxed Pt7Rh4W crystal from Alexandria via LeMat-Bulk. Energies are from PBE-GGA.

Structure (extended XYZ):
```
12
Lattice="4.815 0.000 0.000 0.004 5.551 0.000 2.394 1.391 6.801" Properties=species:S:1:pos:R:3 pbc="T T T"
Pt 0.000 0.000 0.000
Pt 1.571 2.786 2.266
Pt 3.184 5.548 4.570
Pt 2.406 1.402 0.002
Pt 4.806 5.540 6.799
Pt 4.029 1.394 2.232
Pt 5.641 4.156 4.536
Rh 1.623 5.542 2.300
Rh 3.206 2.786 4.572
Rh 4.006 4.156 2.230
Rh 5.590 1.400 4.501
W 0.002 2.775 0.000
```

- volume (Å³ per atom) = 15.1
- symmetry = P-1 (2)


No. 4
Here is a relaxed Pt6Rh23W crystal from Alexandria via LeMat-Bulk. Energies are from PBE-GGA.

Structure (extended XYZ):
```
30
Lattice="-3.851 3.851 7.632 3.851 -3.851 7.632 3.851 3.851 -7.632" Properties=species:S:1:pos:R:3 pbc="T T T"
Pt 0.000 0.000 3.808
Pt 1.943 1.943 0.000
Pt 1.909 -1.909 7.632
Pt -1.909 1.909 7.632
Pt 1.909 1.909 7.632
Pt 0.000 0.000 11.457
Rh 0.000 0.000 0.000
Rh 1.926 1.926 -3.816
Rh 1.926 -1.926 3.816
Rh 3.851 0.000 0.000
Rh 3.851 1.898 -1.941
Rh 3.851 -1.900 5.692
Rh 1.951 0.000 1.940
Rh 5.751 0.000 1.940
Rh 1.898 3.851 -1.941
Rh 1.953 0.000 5.692
Rh 3.851 1.898 1.941
Rh 0.000 1.951 1.940
Rh -1.926 1.926 3.816
Rh 0.000 3.851 0.000
Rh 1.926 1.926 3.816
Rh 3.851 1.900 5.692
Rh 0.000 1.953 5.692
Rh 1.898 3.851 1.941
Rh 1.953 0.000 9.573
Rh -1.900 3.851 5.692
Rh 1.900 3.851 5.692
Rh 0.000 5.751 1.940
Rh 0.000 1.953 9.573
W 0.000 0.000 7.632
```

- volume (Å³ per atom) = 15.1
- symmetry = I4/mmm (139)


No. 5
Here is a relaxed PtRh4W3 crystal from Alexandria via LeMat-Bulk. Energies are from PBE-GGA.

Structure (extended XYZ):
```
8
Lattice="10.520 -1.378 0.000 10.520 1.378 0.000 -0.489 0.000 4.527" Properties=species:S:1:pos:R:3 pbc="T T T"
Pt 0.000 0.000 0.000
Rh 1.840 0.000 3.024
Rh 3.383 0.000 0.864
Rh 17.169 0.000 3.663
Rh 18.711 0.000 1.503
W 5.842 0.000 1.286
W 10.276 0.000 2.264
W 14.709 0.000 3.241
```

- volume (Å³ per atom) = 16.4
- symmetry = C2/m (12)


No. 6
Here is a relaxed Pt3Rh3W crystal from Alexandria via LeMat-Bulk. Energies are from PBE-GGA.

Structure (extended XYZ):
```
14
Lattice="7.363 0.000 0.000 -3.682 6.377 0.000 0.000 0.000 4.479" Properties=species:S:1:pos:R:3 pbc="T T T"
Pt -2.564 5.152 1.120
Pt 0.502 1.580 1.120
Pt 1.619 0.355 3.359
Pt 2.063 6.021 1.120
Pt 3.180 4.797 3.359
Pt 6.246 1.224 3.359
Rh -1.580 3.947 3.359
Rh 1.053 3.034 3.359
Rh 3.155 0.605 1.120
Rh 0.527 5.772 3.359
Rh 2.628 3.342 1.120
Rh 5.262 2.430 1.120
W 0.000 4.251 1.120
W 3.682 2.126 3.359
```

- polymorph energy (0 for the lowest one) (meV/atom) = 0
- volume (Å³ per atom) = 15.0
- symmetry = P6_3/m (176)


No. 7
Here is a relaxed Pt4Rh4W crystal from Alexandria via LeMat-Bulk. Energies are from PBE-GGA.

Structure (extended XYZ):
```
9
Lattice="4.798 0.000 0.000 0.799 4.738 0.000 1.608 0.530 5.925" Properties=species:S:1:pos:R:3 pbc="T T T"
Pt 0.000 0.000 0.000
Pt 1.606 1.363 3.302
Pt 1.632 2.143 0.662
Pt 3.237 3.485 3.941
Rh 3.252 4.253 1.301
Rh 4.067 0.898 4.642
Rh 4.017 1.726 1.954
Rh 5.622 3.920 2.672
W 5.606 3.108 5.276
```

- volume (Å³ per atom) = 15.0
- symmetry = P1 (1)


No. 8
Here is a relaxed Pt6Rh3W2 crystal from Alexandria via LeMat-Bulk. Energies are from PBE-GGA.

Structure (extended XYZ):
```
22
Lattice="2.369 -4.098 0.000 2.369 4.098 0.000 -0.002 0.000 18.297" Properties=species:S:1:pos:R:3 pbc="T T T"
Pt 0.791 1.360 2.214
Pt 1.590 2.742 11.360
Pt 1.563 0.000 16.077
Pt 3.147 2.742 6.936
Pt 0.791 -1.360 2.214
Pt 1.582 0.000 11.367
Pt 3.154 0.000 6.930
Pt 3.946 1.360 16.082
Pt 1.590 -2.742 11.360
Pt 3.174 0.000 2.220
Pt 3.147 -2.742 6.936
Pt 3.946 -1.360 16.082
Rh 1.574 2.714 4.576
Rh 1.596 0.000 4.573
Rh 3.163 2.714 13.720
Rh 1.574 -2.714 4.576
Rh 3.140 0.000 13.724
Rh 3.163 -2.714 13.720
W 2.368 1.367 9.148
W 2.369 1.360 0.000
W 2.369 -1.360 0.000
W 2.368 -1.367 9.148
```

- volume (Å³ per atom) = 16.1
- symmetry = C2/m (12)


Record order is preserved below.
Energy: -96.70 -69.19 -86.25 -217.40 -72.62 -108.48 -68.06 -166.99 eV/cell
Record order is preserved below.
Formation energy from the elements: 5 370 -155 85 163 -107 -149 68 kJ/mol of formula units
Record order is preserved below.
Total magnetic moment: 0.00 0.00 0.00 0.00 0.00 0.00 0.00 0.14 μB/atom